[1]
# La2TaCr

A relaxed La2TaCr crystal (PBE, Alexandria via LeMat-Bulk).

Unit cell a=6.1770 b=6.1770 c=5.2572 alpha=64.83 beta=64.83 gamma=33.89
Last column: magnetic moment on the atom in μB.
Sites, in units of the cell vectors:
La  0.7567  0.7567  0.7432  -0.05
Cr  0.2117  0.2117  0.2881  1.66
Ta  0.5500  0.5500  0.4501  -0.37
La  0.9816  0.9816  0.0186  -0.05

Results
Total magnetization (Bohr magnetons per cell): 1.13
E above lowest polymorph (meV per atom): 125.7
Symmetry: No. 44
DFT formation energy (meV per atom): 471
Calculated total energy (eV/cell): -29.4

[2]
# LaTa2Cr

A relaxed LaTa2Cr crystal (PBE, Alexandria via LeMat-Bulk).

Unit cell a=9.7173 b=9.7173 c=9.7173 alpha=18.37 beta=18.37 gamma=18.37
Sites, in units of the cell vectors:
Cr  0.2500  0.2500  0.2500
Ta  0.9826  0.9826  0.9826
Ta  0.5174  0.5174  0.5174
La  0.7500  0.7500  0.7500

Results
Total magnetization (Bohr magnetons per cell): 0.00
E above lowest polymorph (meV per atom): 269.1
Symmetry: No. 166
DFT formation energy (meV per atom): 568
Calculated total energy (eV/cell): -36.0

[3]
# La2TaCr

A relaxed La2TaCr crystal (PBE, Alexandria via LeMat-Bulk).

Unit cell a=3.3392 b=3.3392 c=9.1567 alpha=90.00 beta=90.00 gamma=90.08
Last column: magnetic moment on the atom in μB.
Sites, in units of the cell vectors:
La  0.0000  0.0000  0.5029  0.04
La  0.0000  0.0000  0.9971  0.04
Cr  0.5000  0.5000  0.7500  -3.58
Ta  0.5000  0.5000  0.2500  -0.19

Results
Total magnetization (Bohr magnetons per cell): 4.14
E above lowest polymorph (meV per atom): 299.0
Symmetry: No. 123
DFT formation energy (meV per atom): 644
Calculated total energy (eV/cell): -28.8

[4]
# LaTa2Cr

A relaxed LaTa2Cr crystal (PBE, Alexandria via LeMat-Bulk).

Unit cell a=3.1620 b=3.1620 c=8.0238 alpha=90.00 beta=90.00 gamma=90.00
Sites, in units of the cell vectors:
Cr  0.5000  0.5000  0.2500
Ta  0.0000  0.0000  0.4290
Ta  0.0000  0.0000  0.0710
La  0.5000  0.5000  0.7500

Results
Total magnetization (Bohr magnetons per cell): 0.00
E above lowest polymorph (meV per atom): 0.0
Symmetry: No. 123
DFT formation energy (meV per atom): 299
Calculated total energy (eV/cell): -37.1

[5]
# La2TaCr

A relaxed La2TaCr crystal (PBE, Alexandria via LeMat-Bulk).

Unit cell a=3.1586 b=3.1586 c=10.3620 alpha=90.00 beta=90.00 gamma=113.46
Sites, in units of the cell vectors:
Ta  0.0000  0.0000  0.5526
La  0.5000  0.5000  0.2877
La  0.0000  0.0000  0.9389
Cr  0.5000  0.5000  0.7207

Results
Total magnetization (Bohr magnetons per cell): 0.00
E above lowest polymorph (meV per atom): 172.9
Symmetry: No. 35
DFT formation energy (meV per atom): 518
Calculated total energy (eV/cell): -29.3

[6]
# La2TaCr

A relaxed La2TaCr crystal (PBE, Alexandria via LeMat-Bulk).

Unit cell a=5.5390 b=5.5390 c=3.3891 alpha=90.00 beta=90.00 gamma=98.01
Last column: magnetic moment on the atom in μB.
Sites, in units of the cell vectors:
La  0.0000  0.0000  0.0000  -0.06
La  0.5000  0.5000  0.0000  -0.06
Ta  0.5000  0.0000  0.5000  -0.02
Cr  0.0000  0.5000  0.5000  3.47

Results
Total magnetization (Bohr magnetons per cell): 3.57
E above lowest polymorph (meV per atom): 320.7
Symmetry: No. 65
DFT formation energy (meV per atom): 666
Calculated total energy (eV/cell): -28.7

[7]
# LaCr2Tc

A relaxed LaCr2Tc crystal (PBE, Alexandria via LeMat-Bulk).

Unit cell a=5.5519 b=5.5519 c=5.5519 alpha=145.15 beta=124.63 gamma=67.11
Last column: magnetic moment on the atom in μB.
Sites, in units of the cell vectors:
Cr  0.9551  0.9551  0.0000  2.88
Tc  0.7500  0.2500  0.5000  -0.78
Cr  0.5449  0.5449  0.0000  2.88
La  0.2500  0.7500  0.5000  0.08

Results
Total magnetization (Bohr magnetons per cell): 5.61
E above lowest polymorph (meV per atom): 341.0
Symmetry: No. 71
DFT formation energy (meV per atom): 699
Calculated total energy (eV/cell): -31.7

[8]
# La4CrTc

A relaxed La4CrTc crystal (PBE, Alexandria via LeMat-Bulk).

Unit cell a=6.2412 b=6.2412 c=6.2412 alpha=60.00 beta=60.00 gamma=60.00
Last column: magnetic moment on the atom in μB.
Sites, in units of the cell vectors:
Tc  0.7500  0.7500  0.7500  -1.19
La  0.3756  0.3756  0.8731  0.20
La  0.8731  0.3756  0.3756  0.20
Cr  0.0000  0.0000  0.0000  -3.83
La  0.3756  0.8731  0.3756  0.20
La  0.3756  0.3756  0.3756  0.20

Results
Total magnetization (Bohr magnetons per cell): 4.52
Symmetry: No. 216
DFT formation energy (meV per atom): 1047
Calculated total energy (eV/cell): -33.4

[9]
# LaCr2Tc

A relaxed LaCr2Tc crystal (PBE, Alexandria via LeMat-Bulk).

Unit cell a=4.4967 b=4.4967 c=4.4967 alpha=60.00 beta=60.00 gamma=60.00
Sites, in units of the cell vectors:
La  0.5000  0.5000  0.5000
Tc  0.0000  0.0000  0.0000
Cr  0.7500  0.7500  0.7500
Cr  0.2500  0.2500  0.2500

Results
Total magnetization (Bohr magnetons per cell): 0.00
E above lowest polymorph (meV per atom): 272.9
Symmetry: No. 225
DFT formation energy (meV per atom): 631
Calculated total energy (eV/cell): -32.0

[10]
# LaCr2Tc

A relaxed LaCr2Tc crystal (PBE, Alexandria via LeMat-Bulk).

Unit cell a=3.6476 b=2.9398 c=6.7866 alpha=79.60 beta=90.00 gamma=90.00
Last column: magnetic moment on the atom in μB.
Sites, in units of the cell vectors:
La  0.0000  0.4815  0.4934  0.00
Tc  0.5000  0.7207  0.8353  0.01
Cr  0.0000  0.0253  0.0104  -0.09
Cr  0.5000  0.2726  0.1609  0.10

Results
Total magnetization (Bohr magnetons per cell): 0.03
E above lowest polymorph (meV per atom): 127.2
Symmetry: No. 6
DFT formation energy (meV per atom): 485
Calculated total energy (eV/cell): -32.6

[11]
# La3CrTc

A relaxed La3CrTc crystal (PBE, Alexandria via LeMat-Bulk).

Unit cell a=5.4808 b=5.4808 c=5.4808 alpha=90.00 beta=90.00 gamma=90.00
Last column: magnetic moment on the atom in μB.
Sites, in units of the cell vectors:
La  0.0000  0.5000  0.0000  0.02
La  0.0000  0.0000  0.5000  0.03
Tc  0.0000  0.0000  0.0000  -0.02
La  0.5000  0.0000  0.0000  0.04
Cr  0.5000  0.5000  0.5000  -4.00

Results
Total magnetization (Bohr magnetons per cell): 4.52
Symmetry: No. 221
DFT formation energy (meV per atom): 355
Calculated total energy (eV/cell): -33.0

[12]
# LaCr2Tc

A relaxed LaCr2Tc crystal (PBE, Alexandria via LeMat-Bulk).

Unit cell a=5.4942 b=5.4942 c=5.4942 alpha=147.22 beta=126.48 gamma=64.20
Last column: magnetic moment on the atom in μB.
Sites, in units of the cell vectors:
Tc  0.7741  0.2741  0.5000  -0.12
La  0.5084  0.5084  0.0000  -0.01
Cr  0.9897  0.9897  0.0000  -2.02
Cr  0.2277  0.7277  0.5000  2.89

Results
Total magnetization (Bohr magnetons per cell): 0.83
E above lowest polymorph (meV per atom): 257.8
Symmetry: No. 44
DFT formation energy (meV per atom): 616
Calculated total energy (eV/cell): -32.1

[13]
# LaCr2Tc

A relaxed LaCr2Tc crystal (PBE, Alexandria via LeMat-Bulk).

Unit cell a=3.3456 b=4.4510 c=4.9250 alpha=90.00 beta=90.00 gamma=90.00
Last column: magnetic moment on the atom in μB.
Sites, in units of the cell vectors:
La  0.5000  0.0000  0.5000  0.05
Cr  0.5000  0.5000  0.0000  -3.09
Tc  0.0000  0.5000  0.5000  0.43
Cr  0.0000  0.0000  0.0000  3.09

Results
Total magnetization (Bohr magnetons per cell): 0.52
E above lowest polymorph (meV per atom): 255.4
Symmetry: No. 47
DFT formation energy (meV per atom): 614
Calculated total energy (eV/cell): -32.1

[14]
# LaCr2Tc

A relaxed LaCr2Tc crystal (PBE, Alexandria via LeMat-Bulk).

Unit cell a=3.0827 b=3.0827 c=7.5440 alpha=90.00 beta=90.00 gamma=90.00
Last column: magnetic moment on the atom in μB.
Sites, in units of the cell vectors:
La  0.5000  0.5000  0.2500  -0.15
Cr  0.0000  0.0000  0.5665  2.10
Tc  0.5000  0.5000  0.7500  -0.76
Cr  0.0000  0.0000  0.9335  2.10

Results
Total magnetization (Bohr magnetons per cell): 3.49
E above lowest polymorph (meV per atom): 7.3
Symmetry: No. 123
DFT formation energy (meV per atom): 366
Calculated total energy (eV/cell): -33.1

[15]
# LaCr2Tc

A relaxed LaCr2Tc crystal (PBE, Alexandria via LeMat-Bulk).

Unit cell a=4.7788 b=4.7788 c=5.6494 alpha=73.96 beta=73.96 gamma=38.96
Sites, in units of the cell vectors:
La  0.7500  0.7500  0.7500
Cr  0.5359  0.5359  0.3635
Tc  0.2500  0.2500  0.2500
Cr  0.9641  0.9641  0.1365

Results
Total magnetization (Bohr magnetons per cell): 0.00
E above lowest polymorph (meV per atom): 109.1
Symmetry: No. 12
DFT formation energy (meV per atom): 467
Calculated total energy (eV/cell): -32.7

[16]
# LaCrTc3

A relaxed LaCrTc3 crystal (PBE, Alexandria via LeMat-Bulk).

Unit cell a=4.6841 b=4.6841 c=4.6841 alpha=90.00 beta=90.00 gamma=90.00
Sites, in units of the cell vectors:
La  0.0000  0.0000  0.0000
Tc  0.0000  0.5000  0.0000
Tc  0.0000  0.0000  0.5000
Tc  0.5000  0.0000  0.0000
Cr  0.5000  0.5000  0.5000

Results
Total magnetization (Bohr magnetons per cell): 0.00
E above lowest polymorph (meV per atom): 1897.7
Symmetry: No. 221
DFT formation energy (meV per atom): 2521
Calculated total energy (eV/cell): -33.0

[17]
# LaCr2Tc

A relaxed LaCr2Tc crystal (PBE, Alexandria via LeMat-Bulk).

Unit cell a=4.0335 b=2.9449 c=6.2861 alpha=77.22 beta=90.00 gamma=90.00
Sites, in units of the cell vectors:
Cr  0.0000  0.0364  0.9053
La  0.5000  0.2500  0.2500
Tc  0.5000  0.7500  0.7500
Cr  0.0000  0.4636  0.5947

Results
Total magnetization (Bohr magnetons per cell): 0.00
E above lowest polymorph (meV per atom): 108.2
Symmetry: No. 10
DFT formation energy (meV per atom): 466
Calculated total energy (eV/cell): -32.7

[18]
# LaCr2Tc

A relaxed LaCr2Tc crystal (PBE, Alexandria via LeMat-Bulk).

Unit cell a=2.8328 b=2.8328 c=8.9931 alpha=90.00 beta=90.00 gamma=113.08
Sites, in units of the cell vectors:
Cr  0.0000  0.0000  0.9596
Tc  0.5000  0.5000  0.7500
Cr  0.0000  0.0000  0.5404
La  0.5000  0.5000  0.2500

Results
Total magnetization (Bohr magnetons per cell): 0.01
E above lowest polymorph (meV per atom): 315.2
Symmetry: No. 65
DFT formation energy (meV per atom): 673
Calculated total energy (eV/cell): -31.8

[19]
# LaCr2Tc

A relaxed LaCr2Tc crystal (PBE, Alexandria via LeMat-Bulk).

Unit cell a=9.0410 b=9.0410 c=9.0410 alpha=18.85 beta=18.85 gamma=18.85
Sites, in units of the cell vectors:
Cr  0.2697  0.2697  0.2697
Cr  0.9960  0.9960  0.9960
Tc  0.7328  0.7328  0.7328
La  0.5016  0.5016  0.5016

Results
Total magnetization (Bohr magnetons per cell): 0.00
E above lowest polymorph (meV per atom): 347.0
Symmetry: No. 160
DFT formation energy (meV per atom): 705
Calculated total energy (eV/cell): -31.7

[20]
# LaCrTc3

A relaxed LaCrTc3 crystal (PBE, Alexandria via LeMat-Bulk).

Unit cell a=4.5765 b=4.5765 c=4.5765 alpha=90.00 beta=90.00 gamma=90.00
Last column: magnetic moment on the atom in μB.
Sites, in units of the cell vectors:
Tc  0.0000  0.5000  0.0000  0.24
La  0.5000  0.5000  0.5000  0.01
Cr  0.0000  0.0000  0.0000  -0.09
Tc  0.0000  0.0000  0.5000  0.11
Tc  0.5000  0.0000  0.0000  0.16

Results
Total magnetization (Bohr magnetons per cell): 0.49
E above lowest polymorph (meV per atom): 0.0
Symmetry: No. 221
DFT formation energy (meV per atom): 623
Calculated total energy (eV/cell): -42.5